[1]
Computed, not measured: a relaxed Ac4H4Pb3 crystal at the GGA-PBE level of DFT.

Lattice parameters (Å, degrees): 8.186 8.186 8.186 90.00 90.00 90.00
Space group I-43m (No. 217)
Asymmetric unit:
Ac1 0.183 0.183 0.817 [8 per cell]
H1 0.122 0.122 0.122 [8 per cell]
Pb1 0.000 0.000 0.500 [6 per cell]

=====

[2]
Computed, not measured: a relaxed Cu3Mo crystal at the GGA-PBE level of DFT.

Summary:
* formation energy: 768 kJ/mol of formula units

Lattice parameters (Å, degrees): 4.786 4.786 4.786 90.00 90.00 90.00
Space group Pm-3m (No. 221)
Asymmetric unit:
Cu1 0.000 0.000 0.500 [3 per cell]
Mo1 0.000 0.000 0.000 [1 per cell]

=====

[3]
Computed, not measured: a relaxed SrCaEr crystal at the GGA-PBE level of DFT.

Summary:
* formation energy: 22 kJ/mol of formula units
* relative energy among the computed polymorphs: 0 meV/atom

Lattice parameters (Å, degrees): 3.884 3.884 16.353 90.00 90.00 90.00
Space group P4/nmm (No. 129, origin choice 2)
Asymmetric unit:
Sr1 0.250 0.250 0.101 [2 per cell]
Ca1 0.250 0.250 0.713 [2 per cell]
Er1 0.250 0.250 0.438 [2 per cell]

=====

Computed values of E_tot (unit: eV/cell) for the preceding records, in sequence: -93.5 -15.2 -16.0.